VASP calculation (GGA+U) on a relaxed structure of CrSbTe2F.

Summary:
* total magnetic moment: 0.25 μB per formula unit
* symmetry: No. 123
* Fermi-level density of states: 6.64 states/eV/f.u.
* offset from the most stable computed form: 0 meV/atom

Geometry as extended XYZ:
```
5
Lattice="-0.1279 -2.5653 4.3688 3.1360 -3.4725 -1.9472 3.9928 2.6633 1.6807" Properties=species:S:1:pos:R:3 pbc="T T T"
Sb 1.9964 1.3317 0.8404
F 3.5004 -1.6872 2.0512
Te 1.5680 -1.7362 -0.9736
Te -0.0639 -1.2827 2.1844
Cr 0.0000 0.0000 0.0000
```